No. 1
Below is crystalline TaOs7 at its relaxed geometry, with properties calculated at the GGA-PBEsol level.

Output
The total energy is -12.253 eV per atom. Its energy of formation is 0.45 kJ per mole of atoms. As for the space group: Fm-3m.

Cell: 5.453 5.453 5.453 Å, 60.00 60.00 60.00°
Fractional coordinates of all 8 atoms:
Os  0.500  0.500  0.000
Os  0.000  0.500  0.000
Os  0.000  0.500  0.500
Os  0.000  0.000  0.500
Os  0.500  0.000  0.500
Os  0.500  0.000  0.000
Os  0.500  0.500  0.500
Ta  0.000  0.000  0.000

***

No. 2
Below is crystalline Ta2Os at its relaxed geometry, with properties calculated at the GGA-PBEsol level.

Output
The total energy is -12.631 eV per atom. Its energy of formation is -18.54 kJ per mole of atoms. As for the space group: C2/m.

Cell: 3.198 5.298 6.441 Å, 108.77 90.00 107.56°
Fractional coordinates of all 6 atoms:
Os  0.838  0.676  0.909
Os  0.162  0.324  0.091
Ta  0.171  0.341  0.591
Ta  0.496  0.993  0.242
Ta  0.504  0.007  0.758
Ta  0.829  0.659  0.409